Entry 1:
The following is a DFT calculation (GGA-PBEsol) of an optimized crystal structure of BeRuS2Cl.

```
BeRuS2Cl
1.0
4.484 0.000 0.000
0.000 4.484 0.000
0.000 0.000 4.790
Ru S Be Cl
1 2 1 1
direct
0.000 0.000 0.000
0.000 0.500 0.000
0.500 0.000 0.000
0.500 0.500 0.500
0.000 0.000 0.500
```

Space group = P4/mmm (123)
Formation energy from raw total energies = 276 kJ/mol of formula units
Total DFT energy (no corrections) = -0.16232 hartree per atom

Entry 2:
The following is a DFT calculation (GGA-PBEsol) of an optimized crystal structure of TaBeS2Cl.

```
TaBeS2Cl
1.0
-0.811 3.905 -0.532
-2.988 -1.031 -3.009
-3.057 -0.211 3.108
Be S Cl Ta
1 2 1 1
direct
0.000 0.000 0.000
0.000 0.000 0.500
0.000 0.500 0.000
0.500 0.000 0.000
0.500 0.500 0.500
```

Space group = P4/mmm (123)
Formation energy from raw total energies = 84 kJ/mol of formula units
Total DFT energy (no corrections) = -0.19444 hartree per atom

Entry 3:
The following is a DFT calculation (GGA-PBEsol) of an optimized crystal structure of TiBeSCl2.

```
TiBeSCl2
1.0
4.693 0.000 0.000
0.000 4.704 0.000
0.000 0.000 4.704
Be S Cl Ti
1 1 2 1
direct
0.500 0.500 0.500
0.500 0.000 0.000
0.000 0.000 0.500
0.000 0.500 0.000
0.000 0.000 0.000
```

Space group = P4/mmm (123)
Formation energy from raw total energies = -157 kJ/mol of formula units
Total DFT energy (no corrections) = -0.16425 hartree per atom

Entry 4:
The following is a DFT calculation (GGA-PBEsol) of an optimized crystal structure of BeWSCl2.

```
BeWSCl2
1.0
4.561 0.000 0.000
0.000 5.020 0.000
0.000 0.000 5.020
Be S W Cl
1 1 1 2
direct
0.500 0.500 0.500
0.000 0.000 0.000
0.500 0.000 0.000
0.000 0.000 0.500
0.000 0.500 0.000
```

Space group = P4/mmm (123)
Formation energy from raw total energies = 692 kJ/mol of formula units
Total DFT energy (no corrections) = -0.13991 hartree per atom

Entry 5:
The following is a DFT calculation (GGA-PBEsol) of an optimized crystal structure of BeSbCl2.

```
BeSbCl2
1.0
4.222 0.000 0.000
0.000 4.316 0.000
0.000 0.000 4.316
Sb Cl Be
1 2 1
direct
0.500 0.500 0.500
0.000 0.000 0.500
0.000 0.500 0.000
0.500 0.000 0.000
```

Space group = P4/mmm (123)
Formation energy from raw total energies = 139 kJ/mol of formula units
Total DFT energy (no corrections) = -0.10229 hartree per atom
E above lowest polymorph = 0.9157 eV per atom

Entry 6:
The following is a DFT calculation (GGA-PBEsol) of an optimized crystal structure of BeSb2Cl.

```
BeSb2Cl
1.0
-3.506 4.116 0.971
-4.221 -3.326 -1.143
3.517 -2.297 6.897
Sb Be Cl
4 2 2
direct
0.475 0.875 0.250
0.775 0.375 0.250
0.125 0.225 0.750
0.625 0.525 0.750
0.750 0.250 0.500
0.500 0.500 0.000
0.250 0.750 0.500
0.000 0.000 0.000
```

Space group = I-42d (122)
Formation energy from raw total energies = 122 kJ/mol of formula units
Total DFT energy (no corrections) = -0.12729 hartree per atom
E above lowest polymorph = 0.2255 eV per atom

Entry 7:
The following is a DFT calculation (GGA-PBEsol) of an optimized crystal structure of BeSb3Cl.

```
BeSb3Cl
1.0
-0.303 1.766 4.539
-0.373 -4.543 1.742
4.856 -0.239 0.417
Sb Be Cl
3 1 1
direct
0.000 0.500 0.000
0.000 0.000 0.500
0.500 0.000 0.000
0.000 0.000 0.000
0.500 0.500 0.500
```

Space group = Pm-3m (221)
Formation energy from raw total energies = 159 kJ/mol of formula units
Total DFT energy (no corrections) = -0.13254 hartree per atom

Entry 8:
The following is a DFT calculation (GGA-PBEsol) of an optimized crystal structure of BeSbCl2.

```
BeSbCl2
1.0
-0.475 0.121 3.127
-3.969 -1.175 -0.557
1.635 -5.746 0.471
Sb Cl Be
1 2 1
direct
0.500 0.500 0.000
0.000 0.000 0.742
0.000 0.000 0.258
0.500 0.500 0.500
```

Space group = Pmmm (47)
Formation energy from raw total energies = 142 kJ/mol of formula units
Total DFT energy (no corrections) = -0.10198 hartree per atom
E above lowest polymorph = 0.9241 eV per atom